Below is a geometry-optimized BaBi2OsW structure, with properties calculated at the PBE-GGA level.

Unit cell a=5.616 b=4.909 c=5.616 alpha=90.00 beta=90.00 gamma=90.00
Atoms (fractional coordinates):
1 Bi 0.500 0.000 0.000
2 W 0.000 0.500 0.000
3 Os 0.000 0.000 0.000
4 Bi 0.000 0.000 0.500
5 Ba 0.500 0.500 0.500

Volume   30.962 A^3/atom
SG   P4/mmm
Calculated formation energy   894 meV per atom
Crystal system   tetragonal
Total moment   0.490 μB/atom